[1]
A relaxed Pm2Sb4Pd9 crystal, computed with PBE.

Cell lengths 4.5741, 4.5741, 16.4584 Å; angles 90.00, 90.00, 120.00 degrees
Sites, in units of the cell vectors:
Pm 0.3333 0.6667 0.2534
Pm 0.6667 0.3333 0.7466
Sb 0.3333 0.6667 0.6088
Sb 0.3333 0.6667 0.8889
Sb 0.6667 0.3333 0.1111
Sb 0.6667 0.3333 0.3912
Pd 0.0000 0.0000 0.0000
Pd 0.0000 0.0000 0.1682
Pd 0.0000 0.0000 0.3485
Pd 0.0000 0.0000 0.6515
Pd 0.0000 0.0000 0.8318
Pd 0.3333 0.6667 0.0593
Pd 0.3333 0.6667 0.4468
Pd 0.6667 0.3333 0.5532
Pd 0.6667 0.3333 0.9407

Results
- space group = P-3m1, No. 164
- final energy (eV/f.u.) = -82.0

---

[2]
A relaxed Pm12Sb3Pd5 crystal, computed with PBE.

Cell lengths 15.1480, 15.1480, 15.1480 Å; angles 109.47, 109.47, 109.47 degrees
Sites, in units of the cell vectors:
Pm 0.0388 0.2110 0.1232
Pm 0.0388 0.3278 0.9156
Pm 0.0844 0.6232 0.4122
Pm 0.0844 0.9612 0.6722
Pm 0.0878 0.7110 0.6722
Pm 0.0878 0.8768 0.4156
Pm 0.1232 0.0388 0.2110
Pm 0.1232 0.5844 0.9122
Pm 0.1722 0.2110 0.5878
Pm 0.1722 0.4612 0.5844
Pm 0.2110 0.1232 0.0388
Pm 0.2110 0.5878 0.1722
Pm 0.2890 0.3278 0.9122
Pm 0.2890 0.4612 0.3768
Pm 0.3278 0.9122 0.2890
Pm 0.3278 0.9156 0.0388
Pm 0.3768 0.2890 0.4612
Pm 0.3768 0.5878 0.9156
Pm 0.4122 0.0844 0.6232
Pm 0.4122 0.8278 0.7890
Pm 0.4156 0.0878 0.8768
Pm 0.4156 0.8278 0.5388
Pm 0.4612 0.3768 0.2890
Pm 0.4612 0.5844 0.1722
Pm 0.5388 0.4156 0.8278
Pm 0.5388 0.6232 0.7110
Pm 0.5844 0.1722 0.4612
Pm 0.5844 0.9122 0.1232
Pm 0.5878 0.1722 0.2110
Pm 0.5878 0.9156 0.3768
Pm 0.6232 0.4122 0.0844
Pm 0.6232 0.7110 0.5388
Pm 0.6722 0.0844 0.9612
Pm 0.6722 0.0878 0.7110
Pm 0.7110 0.5388 0.6232
Pm 0.7110 0.6722 0.0878
Pm 0.7890 0.4122 0.8278
Pm 0.7890 0.8768 0.9612
Pm 0.8278 0.5388 0.4156
Pm 0.8278 0.7890 0.4122
Pm 0.8768 0.4156 0.0878
Pm 0.8768 0.9612 0.7890
Pm 0.9122 0.1232 0.5844
Pm 0.9122 0.2890 0.3278
Pm 0.9156 0.0388 0.3278
Pm 0.9156 0.3768 0.5878
Pm 0.9612 0.6722 0.0844
Pm 0.9612 0.7890 0.8768
Sb 0.1250 0.2500 0.3750
Sb 0.1250 0.3750 0.7500
Sb 0.2500 0.3750 0.1250
Sb 0.2500 0.8750 0.6250
Sb 0.3750 0.1250 0.2500
Sb 0.3750 0.7500 0.1250
Sb 0.6250 0.2500 0.8750
Sb 0.6250 0.8750 0.7500
Sb 0.7500 0.1250 0.3750
Sb 0.7500 0.6250 0.8750
Sb 0.8750 0.6250 0.2500
Sb 0.8750 0.7500 0.6250
Pd 0.0000 0.0000 0.0000
Pd 0.0000 0.0000 0.5000
Pd 0.0000 0.5000 0.0000
Pd 0.0000 0.5000 0.5000
Pd 0.1250 0.7500 0.8750
Pd 0.1250 0.8750 0.2500
Pd 0.2500 0.1250 0.8750
Pd 0.2500 0.6250 0.3750
Pd 0.3750 0.2500 0.6250
Pd 0.3750 0.6250 0.7500
Pd 0.5000 0.0000 0.0000
Pd 0.5000 0.0000 0.5000
Pd 0.5000 0.5000 0.0000
Pd 0.5000 0.5000 0.5000
Pd 0.6250 0.3750 0.2500
Pd 0.6250 0.7500 0.3750
Pd 0.7500 0.3750 0.6250
Pd 0.7500 0.8750 0.1250
Pd 0.8750 0.1250 0.7500
Pd 0.8750 0.2500 0.1250

Results
- space group = Ia-3d, No. 230
- final energy (eV/f.u.) = -103.5

---

[3]
A relaxed Pm4Sb8Pd3 crystal, computed with PBE.

Cell lengths 4.4825, 4.4825, 19.3689 Å; angles 90.00, 90.00, 90.00 degrees
Sites, in units of the cell vectors:
Pm 0.0000 0.5000 0.1175
Pm 0.0000 0.5000 0.6255
Pm 0.5000 0.0000 0.3745
Pm 0.5000 0.0000 0.8825
Sb 0.0000 0.0000 0.2469
Sb 0.0000 0.0000 0.7531
Sb 0.0000 0.5000 0.4208
Sb 0.0000 0.5000 0.9279
Sb 0.5000 0.0000 0.0721
Sb 0.5000 0.0000 0.5792
Sb 0.5000 0.5000 0.2471
Sb 0.5000 0.5000 0.7529
Pd 0.0000 0.0000 0.0000
Pd 0.0000 0.0000 0.5000
Pd 0.5000 0.5000 0.5000

Results
- space group = P-4m2, No. 115
- final energy (eV/f.u.) = -80.0

---

[4]
A relaxed Pm2Sb2Pd15 crystal, computed with PBE.

Cell lengths 7.0779, 7.0779, 7.0779 Å; angles 81.93, 81.93, 81.93 degrees
Sites, in units of the cell vectors:
Pm 0.1464 0.1464 0.1464
Pm 0.8536 0.8536 0.8536
Sb 0.3959 0.3959 0.3959
Sb 0.6041 0.6041 0.6041
Pd 0.0000 0.5000 0.5000
Pd 0.1624 0.1624 0.6689
Pd 0.1624 0.6689 0.1624
Pd 0.1694 0.5000 0.8306
Pd 0.1694 0.8306 0.5000
Pd 0.3311 0.8376 0.8376
Pd 0.5000 0.0000 0.5000
Pd 0.5000 0.1694 0.8306
Pd 0.5000 0.5000 0.0000
Pd 0.5000 0.8306 0.1694
Pd 0.6689 0.1624 0.1624
Pd 0.8306 0.1694 0.5000
Pd 0.8306 0.5000 0.1694
Pd 0.8376 0.3311 0.8376
Pd 0.8376 0.8376 0.3311

Results
- space group = R-3m, No. 166
- final energy (eV/f.u.) = -103.0

---

[5]
A relaxed PmSb2Pd4 crystal, computed with PBE.

Cell lengths 17.2256, 4.5728, 7.2213 Å; angles 90.00, 90.00, 90.00 degrees
Sites, in units of the cell vectors:
Pm 0.1438 0.2500 0.0387
Pm 0.3562 0.7500 0.5387
Pm 0.6438 0.2500 0.4613
Pm 0.8562 0.7500 0.9613
Sb 0.0327 0.7500 0.2528
Sb 0.2089 0.2500 0.5742
Sb 0.2911 0.7500 0.0742
Sb 0.4673 0.2500 0.7528
Sb 0.5327 0.7500 0.2472
Sb 0.7089 0.2500 0.9258
Sb 0.7911 0.7500 0.4258
Sb 0.9673 0.2500 0.7472
Pd 0.0339 0.7500 0.8829
Pd 0.0627 0.2500 0.4525
Pd 0.1845 0.7500 0.3597
Pd 0.2032 0.7500 0.7740
Pd 0.2968 0.2500 0.2740
Pd 0.3155 0.2500 0.8597
Pd 0.4373 0.7500 0.9525
Pd 0.4661 0.2500 0.3829
Pd 0.5339 0.7500 0.6171
Pd 0.5627 0.2500 0.0475
Pd 0.6845 0.7500 0.1403
Pd 0.7032 0.7500 0.7260
Pd 0.7968 0.2500 0.2260
Pd 0.8155 0.2500 0.6403
Pd 0.9373 0.7500 0.5475
Pd 0.9661 0.2500 0.1171

Results
- space group = Pnma, No. 62
- distance to the lowest polymorph of the same formula (eV/f.u.) = 0.23
- final energy (eV/f.u.) = -38.5

---

[6]
A relaxed PmSb6Pd12 crystal, computed with PBE.

Cell lengths 7.5767, 7.5767, 7.5767 Å; angles 104.93, 104.93, 104.93 degrees
Sites, in units of the cell vectors:
Pm 0.0000 0.0000 0.0000
Sb 0.2647 0.2647 0.6788
Sb 0.2647 0.6788 0.2647
Sb 0.3212 0.7353 0.7353
Sb 0.6788 0.2647 0.2647
Sb 0.7353 0.3212 0.7353
Sb 0.7353 0.7353 0.3212
Pd 0.1201 0.3622 0.3622
Pd 0.1207 0.5000 0.8793
Pd 0.1207 0.8793 0.5000
Pd 0.3622 0.1201 0.3622
Pd 0.3622 0.3622 0.1201
Pd 0.5000 0.1207 0.8793
Pd 0.5000 0.8793 0.1207
Pd 0.6378 0.6378 0.8799
Pd 0.6378 0.8799 0.6378
Pd 0.8793 0.1207 0.5000
Pd 0.8793 0.5000 0.1207
Pd 0.8799 0.6378 0.6378

Results
- space group = R-3m, No. 166
- final energy (eV/f.u.) = -99.2

---

| no. | total moment (μB per formula unit) | ΔE_f (raw) (meV/atom) |
| --- | --- | --- |
| 1 | 0.0 | -619.2 |
| 2 | 0.0 | -409.4 |
| 3 | 0.0 | -828.7 |
| 4 | 0.0 | -389.8 |
| 5 | 0.0 | -682.4 |
| 6 | 0.0 | -388.0 |